[1]
# Ca2MnHgC

Ca2MnHgC after structural relaxation (PBE-GGA, Alexandria).

Output
* DOS at the Fermi energy: 2.3 states/eV per cell
* calculated total energy: -23.3 eV per formula unit
* density: 5514 kg/m³
* ΔE_f: -0.116 eV/atom
* symmetry: P4/mmm

a b c (Å): 5.224 5.224 3.837
angles (deg): 90.00 90.00 90.00
Fractional coordinates of all 5 atoms:
Mn 0.000 0.000 0.500
C 0.000 0.000 0.000
Ca 0.000 0.500 0.000
Hg 0.500 0.500 0.500
Ca 0.500 0.000 0.000



[2]
# Pr3TlSb2

Pr3TlSb2 after structural relaxation (PBE-GGA, Alexandria).

Output
* DOS at the Fermi energy: 7.9 states/eV per cell
* E_form (uncorrected): -81.3 kJ per mole of atoms
* calculated total energy: -30.0 eV per formula unit
* density: 7157 kg/m³
* symmetry: C2/c

a b c (Å): 6.434 8.999 8.006
angles (deg): 106.32 113.70 90.00
Fractional coordinates of all 12 atoms:
Tl 0.999 0.750 0.000
Sb 0.336 0.418 0.671
Pr 0.823 0.912 0.646
Sb 0.664 0.082 0.329
Pr 0.823 0.412 0.646
Pr 0.177 0.088 0.354
Tl 0.001 0.250 0.000
Sb 0.336 0.918 0.671
Pr 0.500 0.250 0.000
Sb 0.664 0.582 0.329
Pr 0.500 0.750 0.000
Pr 0.177 0.588 0.354



[3]
# Sc2Tl2Te

Sc2Tl2Te after structural relaxation (PBE-GGA, Alexandria).

Output
* energy above the most stable polymorph in this dataset: 23.14 kJ/mol of atoms
* DOS at the Fermi energy: 4.8 states/eV per cell
* E_form (uncorrected): -20.9 kJ per mole of atoms
* calculated total energy: -21.6 eV per formula unit
* density: 7792 kg/m³
* symmetry: I4/mmm

a b c (Å): 4.097 4.097 8.464
angles (deg): 76.00 76.00 90.00
Fractional coordinates of all 5 atoms:
Tl 0.250 0.750 0.500
Tl 0.750 0.250 0.500
Te 0.000 0.000 0.000
Sc 0.596 0.596 0.807
Sc 0.404 0.404 0.193



[4]
# ErPu3Ir3

ErPu3Ir3 after structural relaxation (PBE-GGA, Alexandria).

Output
* DOS at the Fermi energy: 31.6 states/eV per cell
* calculated total energy: -76.4 eV per formula unit
* density: 17259 kg/m³
* ΔE_f: -0.328 eV/atom
* symmetry: C2/m

a b c (Å): 7.219 7.219 5.465
angles (deg): 89.58 89.58 85.70
Fractional coordinates of all 14 atoms:
Pu 0.800 0.200 0.500
Pu 0.421 0.421 0.733
Ir 0.459 0.049 0.744
Ir 0.951 0.541 0.256
Ir 0.924 0.924 0.195
Pu 0.200 0.800 0.500
Er 0.772 0.772 0.759
Pu 0.579 0.579 0.267
Ir 0.541 0.951 0.256
Ir 0.076 0.076 0.805
Pu 0.721 0.279 0.000
Ir 0.049 0.459 0.744
Er 0.228 0.228 0.241
Pu 0.279 0.721 0.000